# 1
The following is a PBE calculation of a relaxed Al2HgI8 crystal, from Alexandria.

It has space group C2/m (No. 12), with a = 13.724 Å, b = 11.137 Å, c = 7.125 Å, α = 90.00°, β = 94.75° and γ = 90.00°. Symmetry generates all atoms from Al at (0.200, 0.000, 0.155), Hg at (0.000, 0.000, 0.500), I at (0.102, 0.183, 0.274), I at (0.125, 0.500, 0.712) and I at (0.197, 0.000, 0.795).

The value obtained for the magnetic moment is 0.00 μB/atom. As for the calculated total energy: -2.37 eV per atom. The value obtained for the formation energy without anion corrections is -0.540 eV/atom. For the calculated density, the calculation gives 3.9 g/cm3.

# 2
The following is a PBE calculation of a relaxed AlHg4I2 crystal, from Alexandria.

It has space group I4/mmm (No. 139), with a = 5.434 Å, b = 5.434 Å, c = 16.314 Å, α = 90.00°, β = 90.00° and γ = 90.00°. Symmetry generates all atoms from Al at (0.000, 0.000, 0.000), Hg at (0.000, 0.000, 0.159), Hg at (0.000, 0.500, 0.000) and I at (0.000, 0.000, 0.333).

The value obtained for the magnetic moment is 0.00 μB/atom. The value obtained for the density of states at the Fermi level is 5.90 states/eV per cell. As for the calculated total energy: -1.26 eV per atom. The value obtained for the formation energy without anion corrections is -0.113 eV/atom. For the calculated density, the calculation gives 7.5 g/cm3.

# 3
The following is a PBE calculation of a relaxed Al2HgI6 crystal, from Alexandria.

It has space group C2/c (No. 15), with a = 18.385 Å, b = 16.421 Å, c = 8.081 Å, α = 90.00°, β = 115.44° and γ = 90.00°. Symmetry generates all atoms from Al at (0.205, 0.204, 0.135), Hg at (0.000, 0.495, 0.750), I at (0.063, 0.233, 0.077), I at (0.212, 0.158, 0.824) and I at (0.214, 0.393, 0.614).

The value obtained for the magnetic moment is 0.00 μB/atom. The value obtained for the density of states at the Fermi level is 0.00 states/eV per cell. As for the calculated total energy: -2.46 eV per atom. The value obtained for the formation energy without anion corrections is -0.562 eV/atom. For the calculated density, the calculation gives 3.1 g/cm3.